Entry 1:
First-principles (PBE) data for a relaxed structure of Be2SiNi4, as listed in Alexandria via LeMat-Bulk.

Results
Its total energy is -5.499 eV per atom.

Unit cell a=4.5719 b=4.5719 c=4.5719 alpha=109.21 beta=109.60 gamma=109.60
Last column: nearest neighbours and their distance in Å.
Fractional positions:
Ni: 0.0000 0.5000 0.0000  2 Si 2.29, 4 Be 2.29
Ni: 0.5000 0.5000 0.5000  4 Be 2.29, 2 Si 2.29
Ni: 0.5000 0.0000 0.0000  4 Be 2.29, 2 Si 2.29
Ni: 0.0000 0.0000 0.5000  4 Be 2.29, 2 Si 2.29
Si: 0.0000 0.0000 0.0000  8 Ni 2.29
Be: 0.5000 0.5000 0.0000  8 Ni 2.29
Be: 0.5000 0.0000 0.5000  8 Ni 2.29

=====

Entry 2:
First-principles (PBE) data for a relaxed structure of BeSi2Ni, as listed in Alexandria via LeMat-Bulk.

Results
Its total energy is -5.141 eV per atom.

Unit cell a=4.0053 b=4.0053 c=4.5051 alpha=80.95 beta=80.95 gamma=40.36
Last column: nearest neighbours and their distance in Å.
Fractional positions:
Be: 0.7500 0.7500 0.7500  6 Si 2.31-2.47
Si: 0.9949 0.9949 0.9985  3 Be 2.31-2.47, 3 Ni 2.39-2.43
Si: 0.5051 0.5051 0.5015  3 Be 2.31-2.47, 3 Ni 2.39-2.43
Ni: 0.2500 0.2500 0.2500  6 Si 2.39-2.43, 4 Be 2.64

=====

Entry 3:
First-principles (PBE) data for a relaxed structure of BeSiNi, as listed in Alexandria via LeMat-Bulk.

Results
As for the offset from the most stable computed form: 0 meV per atom.

Unit cell a=4.1097 b=4.1097 c=4.1097 alpha=141.43 beta=133.41 gamma=62.03
Last column: nearest neighbours and their distance in Å.
Fractional positions:
Ni: 0.3345 0.3345 0.0000  5 Si 2.35-2.42, 5 Be 2.38-2.41
Si: 0.6686 0.6686 0.0000  5 Be 2.31-2.44, 5 Ni 2.35-2.42
Be: 0.9969 0.9969 0.0000  5 Si 2.31-2.44, 5 Ni 2.38-2.41

=====

Entry 4:
First-principles (PBE) data for a relaxed structure of BeSiNi2, as listed in Alexandria via LeMat-Bulk.

Results
As for the offset from the most stable computed form: 39 meV per atom.

Unit cell a=2.7914 b=3.8075 c=3.8075 alpha=90.00 beta=90.00 gamma=90.00
Last column: nearest neighbours and their distance in Å.
Fractional positions:
Be: 0.5000 0.0000 0.5000  8 Ni 2.36
Ni: 0.0000 0.0000 0.0000  4 Be 2.36, 4 Si 2.36
Ni: 0.0000 0.5000 0.5000  4 Be 2.36, 4 Si 2.36
Si: 0.5000 0.5000 0.0000  8 Ni 2.36

=====

Entry 5:
First-principles (PBE) data for a relaxed structure of BeSiNi, as listed in Alexandria via LeMat-Bulk.

Results
As for the offset from the most stable computed form: 35 meV per atom.

Unit cell a=3.5287 b=5.3933 c=7.3331 alpha=90.00 beta=90.00 gamma=90.00
Last column: nearest neighbours and their distance in Å.
Fractional positions:
Be: 0.2500 0.7743 0.8740  4 Ni 2.22-2.32, 1 Si 2.38
Be: 0.2500 0.7257 0.3740  4 Ni 2.22-2.32, 1 Si 2.38
Be: 0.7500 0.2743 0.6260  4 Ni 2.22-2.32, 1 Si 2.38
Be: 0.7500 0.2257 0.1260  4 Ni 2.22-2.32, 1 Si 2.38
Si: 0.2500 0.2149 0.8782  4 Ni 2.25-2.35, 1 Be 2.38
Si: 0.7500 0.7149 0.6218  4 Ni 2.25-2.35, 1 Be 2.38
Si: 0.7500 0.7851 0.1218  4 Ni 2.25-2.35, 1 Be 2.38
Si: 0.2500 0.2851 0.3782  4 Ni 2.25-2.35, 1 Be 2.38
Ni: 0.7500 0.0052 0.3821  4 Be 2.22-2.32, 4 Si 2.25-2.35, 2 Ni 2.47
Ni: 0.7500 0.4948 0.8821  4 Be 2.22-2.32, 4 Si 2.25-2.35, 2 Ni 2.47
Ni: 0.2500 0.9948 0.6179  4 Be 2.22-2.32, 4 Si 2.25-2.35, 2 Ni 2.47
Ni: 0.2500 0.5052 0.1179  4 Be 2.22-2.32, 4 Si 2.25-2.35, 2 Ni 2.47

=====

Entry 6:
First-principles (PBE) data for a relaxed structure of BeSiNi3, as listed in Alexandria via LeMat-Bulk.

Results
As for the offset from the most stable computed form: 0 meV per atom.

Unit cell a=3.8330 b=5.7127 c=5.7127 alpha=120.00 beta=90.00 gamma=90.00
Last column: nearest neighbours and their distance in Å.
Fractional positions:
Ni: 0.2500 0.8090 0.6183  2 Be 2.12
Ni: 0.7500 0.6183 0.8090  2 Be 2.12
Ni: 0.7500 0.1909 0.8091  2 Be 2.12
Ni: 0.2500 0.8091 0.1909  2 Be 2.12
Ni: 0.2500 0.3817 0.1910  2 Be 2.12
Ni: 0.7500 0.1910 0.3817  2 Be 2.12
Be: 0.0000 0.0000 0.0000  2 Be 1.92, 6 Ni 2.12
Be: 0.5000 0.0000 0.0000  2 Be 1.92, 6 Ni 2.12
Si: 0.2500 0.3335 0.6665  6 Ni 2.38
Si: 0.7500 0.6665 0.3335  6 Ni 2.38

=====

| no. | magnetic moment (μB/cell) |
| --- | --- |
| 1 | 0.0 |
| 2 | 0.0 |
| 3 | 0.0 |
| 4 | 0.0 |
| 5 | 0.0 |
| 6 | 0.0 |